1.
# K3Na2I3Br2 GGA-PBE optimized geometry
# - Uncorrected formation energy: -1.461 eV/atom
# - M_tot: 0.00 μB per cell
# - Space-group type: I4/mmm
data_K3Na2I3Br2
_cell_length_a 16.320
_cell_length_b 16.320
_cell_length_c 16.320
_cell_angle_alpha 161.72
_cell_angle_beta 161.72
_cell_angle_gamma 25.96
_symmetry_space_group_name_H-M 'P 1'
_symmetry_Int_Tables_number 1
_symmetry_space_group_name_Hall 'P 1'
loop_
_atom_site_label
_atom_site_fract_x
_atom_site_fract_y
_atom_site_fract_z
_atom_site_occupancy
K1 0.000 0.000 0.000 1
K2 0.391 0.391 0.000 1
K3 0.609 0.609 0.000 1
Na1 0.250 0.750 0.500 1
Na2 0.750 0.250 0.500 1
I1 0.114 0.114 0.000 1
I2 0.500 0.500 0.000 1
I3 0.886 0.886 0.000 1
Br1 0.286 0.286 0.000 1
Br2 0.714 0.714 0.000 1

***

2.
# K2Na4I3Br2 GGA-PBE optimized geometry
# - Uncorrected formation energy: -1.197 eV/atom
# - M_tot: 0.00 μB per cell
# - Space-group type: I4/mmm
data_K2Na4I3Br2
_cell_length_a 14.286
_cell_length_b 14.286
_cell_length_c 14.286
_cell_angle_alpha 157.32
_cell_angle_beta 157.32
_cell_angle_gamma 32.29
_symmetry_space_group_name_H-M 'P 1'
_symmetry_Int_Tables_number 1
_symmetry_space_group_name_Hall 'P 1'
loop_
_atom_site_label
_atom_site_fract_x
_atom_site_fract_y
_atom_site_fract_z
_atom_site_occupancy
K1 0.205 0.205 0.000 1
K2 0.795 0.795 0.000 1
Na1 0.079 0.579 0.500 1
Na2 0.421 0.921 0.500 1
Na3 0.579 0.079 0.500 1
Na4 0.921 0.421 0.500 1
I1 0.342 0.342 0.000 1
I2 0.500 0.500 0.000 1
I3 0.658 0.658 0.000 1
Br1 0.083 0.083 0.000 1
Br2 0.917 0.917 0.000 1

***

3.
# K2NaIBr4 GGA-PBE optimized geometry
# - Uncorrected formation energy: -1.100 eV/atom
# - M_tot: 3.99 μB per cell
# - Space-group type: C2/c
data_K2NaIBr4
_cell_length_a 9.057
_cell_length_b 9.057
_cell_length_c 9.853
_cell_angle_alpha 116.99
_cell_angle_beta 116.99
_cell_angle_gamma 90.16
_symmetry_space_group_name_H-M 'P 1'
_symmetry_Int_Tables_number 1
_symmetry_space_group_name_Hall 'P 1'
loop_
_atom_site_label
_atom_site_fract_x
_atom_site_fract_y
_atom_site_fract_z
_atom_site_occupancy
K1 0.000 0.000 0.000 1
K2 0.000 0.000 0.500 1
K3 0.000 0.500 0.000 1
K4 0.500 0.000 0.500 1
Na1 0.000 0.500 0.500 1
Na2 0.500 0.000 0.000 1
I1 0.500 0.500 0.000 1
I2 0.500 0.500 0.500 1
Br1 0.199 0.238 0.433 1
Br2 0.210 0.709 0.452 1
Br3 0.238 0.199 0.933 1
Br4 0.291 0.790 0.048 1
Br5 0.709 0.210 0.952 1
Br6 0.762 0.801 0.067 1
Br7 0.790 0.291 0.548 1
Br8 0.801 0.762 0.567 1

***

4.
# KNaIBr GGA-PBE optimized geometry
# - Uncorrected formation energy: -1.494 eV/atom
# - M_tot: 0.00 μB per cell
# - Space-group type: R3m
data_KNaIBr
_cell_length_a 8.161
_cell_length_b 8.161
_cell_length_c 8.161
_cell_angle_alpha 33.09
_cell_angle_beta 33.09
_cell_angle_gamma 33.09
_symmetry_space_group_name_H-M 'P 1'
_symmetry_Int_Tables_number 1
_symmetry_space_group_name_Hall 'P 1'
loop_
_atom_site_label
_atom_site_fract_x
_atom_site_fract_y
_atom_site_fract_z
_atom_site_occupancy
K1 0.000 0.000 0.000 1
Na1 0.489 0.489 0.489 1
I1 0.235 0.235 0.235 1
Br1 0.752 0.752 0.752 1

***

5.
# KNaI2Br6 GGA-PBE optimized geometry
# - Uncorrected formation energy: -0.671 eV/atom
# - M_tot: 0.00 μB per cell
# - Space-group type: P1
data_KNaI2Br6
_cell_length_a 6.045
_cell_length_b 8.287
_cell_length_c 8.964
_cell_angle_alpha 97.57
_cell_angle_beta 101.73
_cell_angle_gamma 110.46
_symmetry_space_group_name_H-M 'P 1'
_symmetry_Int_Tables_number 1
_symmetry_space_group_name_Hall 'P 1'
loop_
_atom_site_label
_atom_site_fract_x
_atom_site_fract_y
_atom_site_fract_z
_atom_site_occupancy
K1 0.000 0.000 0.000 1
Na1 0.931 0.456 0.472 1
I1 0.454 0.738 0.271 1
I2 0.565 0.281 0.750 1
Br1 0.065 0.283 0.745 1
Br2 0.286 0.398 0.299 1
Br3 0.405 0.944 0.780 1
Br4 0.612 0.078 0.239 1
Br5 0.745 0.619 0.711 1
Br6 0.951 0.732 0.272 1

***

6.
# K2NbI2Br4 GGA-PBE optimized geometry
# - Uncorrected formation energy: -1.139 eV/atom
# - M_tot: 1.00 μB per cell
# - Space-group type: C2/m
data_K2NbI2Br4
_cell_length_a 7.784
_cell_length_b 7.784
_cell_length_c 7.796
_cell_angle_alpha 118.40
_cell_angle_beta 118.40
_cell_angle_gamma 58.58
_symmetry_space_group_name_H-M 'P 1'
_symmetry_Int_Tables_number 1
_symmetry_space_group_name_Hall 'P 1'
loop_
_atom_site_label
_atom_site_fract_x
_atom_site_fract_y
_atom_site_fract_z
_atom_site_occupancy
K1 0.247 0.247 0.208 1
K2 0.753 0.753 0.792 1
Nb1 0.500 0.500 0.000 1
I1 0.258 0.258 0.682 1
I2 0.742 0.742 0.318 1
Br1 0.221 0.701 0.192 1
Br2 0.299 0.779 0.808 1
Br3 0.701 0.221 0.192 1
Br4 0.779 0.299 0.808 1